Entry 1:
Here is a relaxed structure of HfV2AgO8 from Alexandria. Energies are from GGA+U.

```
12
Lattice="5.827 0.108 0.000 -2.488 5.271 0.000 -1.670 -2.689 4.894" Properties=species:S:1:pos:R:3 pbc="T T T"
Ag 0.000 0.000 0.000
O 2.785 1.553 3.347
O -0.347 1.371 3.876
O 0.347 -1.371 3.876
O 4.314 0.604 1.547
O 3.052 2.986 1.017
O 1.513 -0.496 1.547
O 0.288 2.392 1.017
O 3.042 -1.445 3.347
V 2.914 0.054 2.447
V 1.670 2.689 0.000
Hf -1.244 2.635 2.447
```

* Fermi-level density of states: 2.68 states/eV/f.u.
* energy: -7.49 eV per atom
* magnetic moment: 0.8 μB per formula unit
* SG: I-4m2 (119)


Entry 2:
Here is a relaxed structure of HfVAgO5 from Alexandria. Energies are from GGA+U.

```
16
Lattice="5.877 0.482 -0.076 -1.254 5.762 -0.076 -2.015 -2.722 7.076" Properties=species:S:1:pos:R:3 pbc="T T T"
O 2.774 3.125 2.575
O -0.630 3.221 4.138
O -1.314 4.753 1.693
O 3.238 0.302 2.786
O 1.437 1.318 0.811
O -0.166 0.398 4.349
O 1.171 2.205 6.113
O 4.272 1.698 0.600
O 3.922 -1.230 5.231
O -1.664 1.825 6.324
V 2.922 1.617 1.693
V -0.314 1.906 5.231
Hf 0.000 0.000 0.000
Hf -1.007 -1.361 3.538
Ag 2.131 0.096 5.231
Ag 0.477 3.427 1.693
```

* Fermi-level density of states: 0.00 states/eV/f.u.
* energy: -7.78 eV per atom
* magnetic moment: 0.0 μB per formula unit
* SG: C2/c (15)


Entry 3:
Here is a relaxed structure of HfAgWO6 from Alexandria. Energies are from GGA+U.

```
18
Lattice="-0.117 1.410 5.207 0.185 -5.213 -1.379 9.530 0.304 0.132" Properties=species:S:1:pos:R:3 pbc="T T T"
O 3.553 -4.130 1.946
O 3.561 -3.214 -0.746
O 6.045 0.631 2.014
O 8.231 -1.073 1.575
O 1.367 -2.426 2.385
O 6.037 -0.285 4.706
O 8.137 1.075 3.434
O 3.472 -1.342 1.392
O 1.461 -4.574 0.525
O 1.388 -1.889 -0.407
O 8.209 -1.610 4.366
O 6.126 -2.157 2.568
W 7.131 -0.570 3.110
W 2.467 -2.929 0.849
Ag 4.765 0.152 0.066
Ag 0.000 0.000 0.000
Hf 7.232 -2.777 0.915
Hf 2.366 -0.721 3.044
```

* Fermi-level density of states: 5.36 states/eV/f.u.
* energy: -7.50 eV per atom
* magnetic moment: 0.0 μB per formula unit
* SG: P-31c (163)